A plane-wave DFT calculation with PBE+U was carried out for crystalline AcTiVO6 at its relaxed geometry.

As for the space-group type: P-31c. Its uncorrected energy is -8.24 eV/atom. The crystal system is trigonal.

a b c (Å): 5.1422 5.1422 10.6897
angles (deg): 90.00 90.00 120.00
Fractional coordinates of all 18 atoms:
Ac (0.0000, 0.0000, 0.5000)
Ac (0.0000, 0.0000, 0.0000)
O (0.6103, 0.9906, 0.3521)
O (0.6196, 0.0094, 0.8521)
O (0.0094, 0.3897, 0.1479)
O (0.6103, 0.6196, 0.1479)
O (0.0094, 0.6196, 0.3521)
O (0.9906, 0.6103, 0.8521)
O (0.3897, 0.0094, 0.6479)
O (0.3804, 0.3897, 0.3521)
O (0.9906, 0.3804, 0.6479)
O (0.6196, 0.6103, 0.6479)
O (0.3804, 0.9906, 0.1479)
O (0.3897, 0.3804, 0.8521)
Ti (0.6667, 0.3333, 0.2500)
Ti (0.3333, 0.6667, 0.7500)
V (0.6667, 0.3333, 0.7500)
V (0.3333, 0.6667, 0.2500)